1.
# NdMgSiAg (PBE-GGA, optimized geometry)
data_NdMgSiAg
_cell_length_a 7.026
_cell_length_b 7.026
_cell_length_c 7.026
_cell_angle_alpha 90.00
_cell_angle_beta 90.00
_cell_angle_gamma 90.00
_space_group_name_H-M_alt 'F -4 3 m'
_space_group_IT_number 216
_space_group_name_Hall 'F -4 2 3'
loop_
_atom_site_label
_atom_site_type_symbol
_atom_site_fract_x
_atom_site_fract_y
_atom_site_fract_z
_atom_site_occupancy
Nd1 Nd 0.000 0.000 0.000 1
Mg1 Mg 0.000 0.000 0.500 1
Si1 Si 0.250 0.250 0.250 1
Ag1 Ag 0.250 0.250 0.750 1
# Mass density = 5.83 g cm⁻³
# Energy relative to the elements, uncorrected = -0.305 eV per atom
# D(E_F) = 0.40 states/eV/atom
# E = -63.43 eV for the cell shown



2.
# NdMg2Ag2Sn2 (PBE-GGA, optimized geometry)
data_NdMg2Ag2Sn2
_cell_length_a 4.6827
_cell_length_b 4.6827
_cell_length_c 25.3814
_cell_angle_alpha 90.00
_cell_angle_beta 90.00
_cell_angle_gamma 120.00
_space_group_name_H-M_alt 'R -3 m'
_space_group_IT_number 166
_space_group_name_Hall '-R 3 2"'
loop_
_atom_site_label
_atom_site_type_symbol
_atom_site_fract_x
_atom_site_fract_y
_atom_site_fract_z
_atom_site_occupancy
Nd1 Nd 0.0000 0.0000 0.0000 1
Mg1 Mg 0.0000 0.0000 0.1386 1
Ag1 Ag 0.0000 0.0000 0.4406 1
Sn1 Sn 0.0000 0.0000 0.2627 1
# Mass density = 6.68 g cm⁻³
# D(E_F) = 0.31 states/eV/atom
# Energy relative to the elements = -2.6 eV/f.u.
# E = -72.83 eV for the cell shown



3.
# SrNdMgAg (PBE-GGA, optimized geometry)
data_SrNdMgAg
_cell_length_a 7.841
_cell_length_b 7.841
_cell_length_c 7.841
_cell_angle_alpha 90.00
_cell_angle_beta 90.00
_cell_angle_gamma 90.00
_space_group_name_H-M_alt 'F -4 3 m'
_space_group_IT_number 216
_space_group_name_Hall 'F -4 2 3'
loop_
_atom_site_label
_atom_site_type_symbol
_atom_site_fract_x
_atom_site_fract_y
_atom_site_fract_z
_atom_site_occupancy
Sr1 Sr 0.000 0.000 0.000 1
Nd1 Nd 0.000 0.000 0.500 1
Mg1 Mg 0.250 0.250 0.250 1
Ag1 Ag 0.250 0.250 0.750 1
# Mass density = 5.02 g cm⁻³
# D(E_F) = 0.94 states/eV/atom
# Energy relative to the elements = -0.4 eV/f.u.
# E = -45.05 eV for the cell shown



4.
# TbNdMg2Ag4 (PBE-GGA, optimized geometry)
data_TbNdMg2Ag4
_cell_length_a 5.0310
_cell_length_b 5.0310
_cell_length_c 24.3368
_cell_angle_alpha 90.00
_cell_angle_beta 90.00
_cell_angle_gamma 120.00
_space_group_name_H-M_alt 'R -3 m'
_space_group_IT_number 166
_space_group_name_Hall '-R 3 2"'
loop_
_atom_site_label
_atom_site_type_symbol
_atom_site_fract_x
_atom_site_fract_y
_atom_site_fract_z
_atom_site_occupancy
Tb1 Tb 0.0000 0.0000 0.0000 1
Nd1 Nd 0.0000 0.0000 0.5000 1
Mg1 Mg 0.0000 0.0000 0.2503 1
Ag1 Ag 0.0000 0.0000 0.1238 1
Ag2 Ag 0.0000 0.0000 0.3711 1
# Mass density = 7.31 g cm⁻³
# D(E_F) = 0.80 states/eV/atom
# Energy relative to the elements = -2.3 eV/f.u.
# E = -78.91 eV for the cell shown



5.
# TbNdMgAg (PBE-GGA, optimized geometry)
data_TbNdMgAg
_cell_length_a 7.548
_cell_length_b 7.548
_cell_length_c 7.548
_cell_angle_alpha 90.00
_cell_angle_beta 90.00
_cell_angle_gamma 90.00
_space_group_name_H-M_alt 'F -4 3 m'
_space_group_IT_number 216
_space_group_name_Hall 'F -4 2 3'
loop_
_atom_site_label
_atom_site_type_symbol
_atom_site_fract_x
_atom_site_fract_y
_atom_site_fract_z
_atom_site_occupancy
Tb1 Tb 0.000 0.000 0.000 1
Nd1 Nd 0.000 0.000 0.500 1
Mg1 Mg 0.250 0.250 0.750 1
Ag1 Ag 0.250 0.250 0.250 1
# Mass density = 6.72 g cm⁻³
# D(E_F) = 1.17 states/eV/atom
# Energy relative to the elements = -0.5 eV/f.u.
# E = -57.57 eV for the cell shown
# Energy relative to the lowest polymorph listed for this composition = 0.19 eV/f.u.



6.
# TbNdMgAg (PBE-GGA, optimized geometry)
data_TbNdMgAg
_cell_length_a 3.792
_cell_length_b 3.792
_cell_length_c 7.417
_cell_angle_alpha 90.00
_cell_angle_beta 90.00
_cell_angle_gamma 90.00
_space_group_name_H-M_alt 'P 4 m m'
_space_group_IT_number 99
_space_group_name_Hall 'P 4 -2'
loop_
_atom_site_label
_atom_site_type_symbol
_atom_site_fract_x
_atom_site_fract_y
_atom_site_fract_z
_atom_site_occupancy
Tb1 Tb 0.000 0.000 0.000 1
Nd1 Nd 0.000 0.000 0.515 1
Mg1 Mg 0.500 0.500 0.250 1
Ag1 Ag 0.500 0.500 0.776 1
# Mass density = 6.78 g cm⁻³
# D(E_F) = 0.87 states/eV/atom
# Energy relative to the elements = -0.7 eV/f.u.
# E = -14.58 eV for the cell shown
# Energy relative to the lowest polymorph listed for this composition = 0.00 eV/f.u.



7.
# NdMgAgTe3 (PBE-GGA, optimized geometry)
data_NdMgAgTe3
_cell_length_a 8.517
_cell_length_b 4.295
_cell_length_c 9.670
_cell_angle_alpha 90.00
_cell_angle_beta 102.95
_cell_angle_gamma 90.00
_space_group_name_H-M_alt 'P 1 21/m 1'
_space_group_IT_number 11
_space_group_name_Hall '-P 2yb'
loop_
_atom_site_label
_atom_site_type_symbol
_atom_site_fract_x
_atom_site_fract_y
_atom_site_fract_z
_atom_site_occupancy
Nd1 Nd 0.190 0.250 0.249 1
Mg1 Mg 0.335 0.750 0.837 1
Ag1 Ag 0.083 0.250 0.583 1
Te1 Te 0.092 0.250 0.875 1
Te2 Te 0.276 0.750 0.513 1
Te3 Te 0.420 0.750 0.146 1
# Mass density = 6.35 g cm⁻³
# Energy relative to the elements, uncorrected = -0.895 eV per atom
# E = -48.01 eV for the cell shown



8.
# NdMgTlAg (PBE-GGA, optimized geometry)
data_NdMgTlAg
_cell_length_a 7.316
_cell_length_b 7.316
_cell_length_c 7.316
_cell_angle_alpha 90.00
_cell_angle_beta 90.00
_cell_angle_gamma 90.00
_space_group_name_H-M_alt 'F -4 3 m'
_space_group_IT_number 216
_space_group_name_Hall 'F -4 2 3'
loop_
_atom_site_label
_atom_site_type_symbol
_atom_site_fract_x
_atom_site_fract_y
_atom_site_fract_z
_atom_site_occupancy
Nd1 Nd 0.000 0.000 0.000 1
Mg1 Mg 0.000 0.000 0.500 1
Tl1 Tl 0.250 0.250 0.750 1
Ag1 Ag 0.250 0.250 0.250 1
# Mass density = 8.16 g cm⁻³
# D(E_F) = 0.43 states/eV/atom
# Energy relative to the elements = -1.2 eV/f.u.
# E = -51.24 eV for the cell shown



9.
# NdTmMgAg (PBE-GGA, optimized geometry)
data_NdTmMgAg
_cell_length_a 3.751
_cell_length_b 3.751
_cell_length_c 7.419
_cell_angle_alpha 90.00
_cell_angle_beta 90.00
_cell_angle_gamma 90.00
_space_group_name_H-M_alt 'P 4 m m'
_space_group_IT_number 99
_space_group_name_Hall 'P 4 -2'
loop_
_atom_site_label
_atom_site_type_symbol
_atom_site_fract_x
_atom_site_fract_y
_atom_site_fract_z
_atom_site_occupancy
Nd1 Nd 0.000 0.000 0.000 1
Tm1 Tm 0.000 0.000 0.482 1
Mg1 Mg 0.500 0.500 0.729 1
Ag1 Ag 0.500 0.500 0.269 1
# Mass density = 7.08 g cm⁻³
# D(E_F) = 0.96 states/eV/atom
# Energy relative to the elements = -0.7 eV/f.u.
# E = -14.40 eV for the cell shown
# Energy relative to the lowest polymorph listed for this composition = 0.00 eV/f.u.



10.
# NdTmMgAg (PBE-GGA, optimized geometry)
data_NdTmMgAg
_cell_length_a 7.490
_cell_length_b 7.490
_cell_length_c 7.490
_cell_angle_alpha 90.00
_cell_angle_beta 90.00
_cell_angle_gamma 90.00
_space_group_name_H-M_alt 'F -4 3 m'
_space_group_IT_number 216
_space_group_name_Hall 'F -4 2 3'
loop_
_atom_site_label
_atom_site_type_symbol
_atom_site_fract_x
_atom_site_fract_y
_atom_site_fract_z
_atom_site_occupancy
Nd1 Nd 0.000 0.000 0.000 1
Tm1 Tm 0.000 0.000 0.500 1
Mg1 Mg 0.250 0.250 0.250 1
Ag1 Ag 0.250 0.250 0.750 1
# Mass density = 7.04 g cm⁻³
# D(E_F) = 1.04 states/eV/atom
# Energy relative to the elements = -0.5 eV/f.u.
# E = -56.89 eV for the cell shown
# Energy relative to the lowest polymorph listed for this composition = 0.18 eV/f.u.



11.
# Nd2MgZn3Ag4 (PBE-GGA, optimized geometry)
data_Nd2MgZn3Ag4
_cell_length_a 4.191
_cell_length_b 4.191
_cell_length_c 12.151
_cell_angle_alpha 90.00
_cell_angle_beta 90.00
_cell_angle_gamma 90.00
_space_group_name_H-M_alt 'P -4 m 2'
_space_group_IT_number 115
_space_group_name_Hall 'P -4 -2'
loop_
_atom_site_label
_atom_site_type_symbol
_atom_site_fract_x
_atom_site_fract_y
_atom_site_fract_z
_atom_site_occupancy
Nd1 Nd 0.000 0.500 0.238 1
Mg1 Mg 0.000 0.000 0.500 1
Zn1 Zn 0.000 0.500 0.863 1
Zn2 Zn 0.500 0.500 0.500 1
Ag1 Ag 0.000 0.000 0.000 1
Ag2 Ag 0.000 0.500 0.647 1
Ag3 Ag 0.500 0.500 0.000 1
# Mass density = 7.32 g cm⁻³
# D(E_F) = 0.74 states/eV/atom
# Energy relative to the elements = -2.3 eV/f.u.
# E = -28.63 eV for the cell shown



12.
# NdMg2Zn2Ag2 (PBE-GGA, optimized geometry)
data_NdMg2Zn2Ag2
_cell_length_a 4.5861
_cell_length_b 4.5861
_cell_length_c 23.7327
_cell_angle_alpha 90.00
_cell_angle_beta 90.00
_cell_angle_gamma 120.00
_space_group_name_H-M_alt 'R -3 m'
_space_group_IT_number 166
_space_group_name_Hall '-R 3 2"'
loop_
_atom_site_label
_atom_site_type_symbol
_atom_site_fract_x
_atom_site_fract_y
_atom_site_fract_z
_atom_site_occupancy
Nd1 Nd 0.0000 0.0000 0.0000 1
Mg1 Mg 0.0000 0.0000 0.1379 1
Zn1 Zn 0.0000 0.0000 0.2609 1
Ag1 Ag 0.0000 0.0000 0.4301 1
# Mass density = 6.22 g cm⁻³
# D(E_F) = 0.48 states/eV/atom
# Energy relative to the elements = -1.4 eV/f.u.
# E = -52.83 eV for the cell shown



13.
# Mg3Ni2Ag (PBE-GGA, optimized geometry)
data_Mg3Ni2Ag
_cell_length_a 3.068
_cell_length_b 3.068
_cell_length_c 9.970
_cell_angle_alpha 90.00
_cell_angle_beta 90.00
_cell_angle_gamma 90.00
_space_group_name_H-M_alt 'P 4/m m m'
_space_group_IT_number 123
_space_group_name_Hall '-P 4 2'
loop_
_atom_site_label
_atom_site_type_symbol
_atom_site_fract_x
_atom_site_fract_y
_atom_site_fract_z
_atom_site_occupancy
Mg1 Mg 0.000 0.000 0.000 1
Mg2 Mg 0.000 0.000 0.304 1
Ni1 Ni 0.500 0.500 0.151 1
Ag1 Ag 0.500 0.500 0.500 1
# Mass density = 5.28 g cm⁻³
# D(E_F) = 0.56 states/eV/atom
# Energy relative to the elements = -1.0 eV/f.u.
# E = -20.24 eV for the cell shown